No. 1
TiIOF2 | Alexandria | GGA-PBEsol | optimized geometry; uncorrected energy = -5.701 eV/atom; formation energy from raw total energies = -1.86 eV per atom
1.0
3.811 0.000 0.000
0.000 4.274 0.000
0.000 0.000 4.274
I F O Ti
1 2 1 1
direct
0.500 0.500 0.500
0.000 0.000 0.500
0.000 0.500 0.000
0.500 0.000 0.000
0.000 0.000 0.000


No. 2
BaGa2GeSe6 | Alexandria | GGA-PBEsol | optimized geometry; uncorrected energy = -4.506 eV/atom; formation energy from raw total energies = -0.82 eV per atom
1.0
-3.174 0.167 -5.614
0.127 -6.447 0.919
-4.727 1.614 4.265
Ge Se Ba Ga
1 6 1 2
direct
0.396 0.823 0.545
0.250 0.137 0.576
0.135 0.592 0.259
0.584 0.251 0.136
0.734 0.888 0.455
0.898 0.451 0.748
0.453 0.742 0.888
0.003 0.999 0.986
0.816 0.536 0.403
0.548 0.396 0.821


No. 3
Be2AgSb | Alexandria | GGA-PBEsol | optimized geometry; uncorrected energy = -3.563 eV/atom; formation energy from raw total energies = 0.40 eV per atom
1.0
-1.067 -0.349 2.812
2.522 -1.487 0.770
2.889 5.844 1.821
Sb Ag Be
1 1 2
direct
0.000 0.000 0.552
0.500 0.500 0.162
0.000 0.000 0.968
0.500 0.500 0.818


No. 4
Ba2BiPd2 | Alexandria | GGA-PBEsol | optimized geometry; calculated formation energy = -583 meV/atom; uncorrected energy = -4.684 eV/atom
1.0
4.654 0.000 0.000
0.000 7.726 0.000
0.000 0.000 7.726
Bi Pd Ba
2 4 4
direct
0.000 0.000 0.000
0.000 0.500 0.500
0.000 0.376 0.876
0.000 0.876 0.624
0.000 0.624 0.124
0.000 0.124 0.376
0.500 0.181 0.681
0.500 0.681 0.819
0.500 0.819 0.319
0.500 0.319 0.181


No. 5
NaTc2NiAu | Alexandria | GGA-PBEsol | optimized geometry; calculated formation energy = 1412 meV/atom; uncorrected energy = -5.391 eV/atom
1.0
4.373 0.000 0.000
0.000 4.373 0.000
0.000 0.000 4.575
Ni Au Tc Na
1 1 2 1
direct
0.000 0.000 0.000
0.500 0.500 0.500
0.000 0.500 0.000
0.500 0.000 0.000
0.000 0.000 0.500


No. 6
YSe4Cl | Alexandria | GGA-PBEsol | optimized geometry; uncorrected energy = -4.527 eV/atom; formation energy from raw total energies = -0.49 eV per atom
1.0
5.623 0.000 0.000
2.811 4.870 0.000
2.811 1.623 4.591
Y Se Cl
1 4 1
direct
0.750 0.750 0.750
0.375 0.375 0.375
0.375 0.375 0.874
0.874 0.375 0.375
0.375 0.874 0.375
0.000 0.000 0.000


No. 7
PRh2 | Alexandria | GGA-PBEsol | optimized geometry; calculated formation energy = -801 meV/atom; uncorrected energy = -8.157 eV/atom
1.0
-1.735 -2.097 2.753
2.114 -1.683 2.773
-0.162 1.329 3.633
P Rh
1 2
direct
0.000 0.000 0.000
0.750 0.750 0.750
0.250 0.250 0.250


No. 8
CdSnP2O | Alexandria | GGA-PBEsol | optimized geometry; uncorrected energy = -3.814 eV/atom; formation energy from raw total energies = 0.64 eV per atom
1.0
3.984 0.000 0.000
0.000 4.990 0.000
0.000 0.000 4.990
P Sn O Cd
2 1 1 1
direct
0.000 0.000 0.500
0.000 0.500 0.000
0.500 0.500 0.500
0.500 0.000 0.000
0.000 0.000 0.000


No. 9
CoSb2TeH | Alexandria | GGA-PBEsol | optimized geometry; uncorrected energy = -3.975 eV/atom
1.0
4.248 0.000 0.000
0.000 4.248 0.000
0.000 0.000 5.280
Sb Te Co H
2 1 1 1
direct
0.000 0.500 0.000
0.500 0.000 0.000
0.000 0.000 0.500
0.500 0.500 0.500
0.000 0.000 0.000


No. 10
K2LiVS4 | Alexandria | GGA-PBEsol | optimized geometry; uncorrected energy = -5.086 eV/atom; formation energy from raw total energies = -1.16 eV per atom
1.0
6.702 -0.022 -0.029
1.479 6.536 -0.029
1.097 0.873 17.727
K V S Li
8 4 16 4
direct
0.109 0.157 0.071
0.157 0.109 0.571
0.321 0.681 0.250
0.501 0.501 0.500
0.681 0.321 0.750
0.501 0.501 0.000
0.845 0.893 0.429
0.893 0.845 0.929
0.305 0.191 0.354
0.191 0.305 0.854
0.811 0.697 0.146
0.697 0.811 0.646
0.218 0.174 0.241
0.075 0.411 0.410
0.174 0.218 0.741
0.411 0.075 0.910
0.102 0.664 0.087
0.664 0.102 0.587
0.592 0.287 0.346
0.287 0.592 0.846
0.715 0.410 0.154
0.410 0.715 0.654
0.338 0.901 0.413
0.901 0.338 0.913
0.592 0.927 0.090
0.827 0.784 0.259
0.927 0.592 0.590
0.784 0.827 0.759
0.599 0.110 0.216
0.110 0.599 0.716
0.892 0.403 0.284
0.403 0.892 0.784


No. 11
Tm3Ga5 | Alexandria | GGA-PBEsol | optimized geometry; calculated formation energy = -687 meV/atom; uncorrected energy = -4.611 eV/atom
1.0
-4.797 -2.187 2.675
3.537 -8.723 -0.790
5.020 1.136 9.931
Tm Ga
12 20
direct
0.154 0.250 0.072
0.346 0.250 0.572
0.846 0.750 0.928
0.654 0.750 0.428
0.109 0.492 0.352
0.391 0.008 0.852
0.891 0.992 0.648
0.609 0.508 0.148
0.891 0.508 0.648
0.609 0.992 0.148
0.109 0.008 0.352
0.391 0.492 0.852
0.124 0.948 0.091
0.376 0.552 0.591
0.876 0.448 0.909
0.624 0.052 0.409
0.876 0.052 0.909
0.624 0.448 0.409
0.124 0.552 0.091
0.376 0.948 0.591
0.830 0.250 0.252
0.670 0.250 0.752
0.170 0.750 0.748
0.330 0.750 0.248
0.629 0.250 0.006
0.871 0.250 0.506
0.371 0.750 0.994
0.129 0.750 0.494
0.393 0.250 0.299
0.107 0.250 0.799
0.607 0.750 0.701
0.893 0.750 0.201


No. 12
Be2GaSeBr | Alexandria | GGA-PBEsol | optimized geometry; uncorrected energy = -2.784 eV/atom; formation energy from raw total energies = 0.63 eV per atom
1.0
-1.585 3.034 -2.553
-2.034 -2.982 -2.281
-4.383 0.475 3.287
Be Ga Se Br
2 1 1 1
direct
0.000 0.500 0.000
0.500 0.000 0.000
0.000 0.000 0.000
0.000 0.000 0.500
0.500 0.500 0.500


No. 13
Tl2Te | Alexandria | GGA-PBEsol | optimized geometry; E above lowest polymorph = 111.9 meV/atom; uncorrected energy = -3.063 eV/atom; formation energy from raw total energies = -0.13 eV per atom
1.0
10.675 0.000 0.000
5.337 9.245 0.000
5.337 3.082 8.716
Te Tl
8 16
direct
0.359 0.359 0.359
0.922 0.359 0.359
0.359 0.922 0.359
0.359 0.359 0.922
0.891 0.891 0.891
0.328 0.891 0.891
0.891 0.328 0.891
0.891 0.891 0.328
0.125 0.125 0.625
0.125 0.625 0.125
0.625 0.125 0.125
0.125 0.125 0.125
0.980 0.520 0.520
0.520 0.980 0.520
0.520 0.520 0.980
0.980 0.980 0.520
0.980 0.520 0.980
0.520 0.980 0.980
0.270 0.730 0.730
0.730 0.270 0.730
0.730 0.730 0.270
0.270 0.270 0.730
0.270 0.730 0.270
0.730 0.270 0.270


No. 14
Li2TcSb | Alexandria | GGA-PBEsol | optimized geometry; uncorrected energy = -5.006 eV/atom; formation energy from raw total energies = -0.07 eV per atom
1.0
4.404 0.000 0.000
2.202 3.814 0.000
2.202 1.271 3.596
Sb Tc Li
1 1 2
direct
0.500 0.500 0.500
0.250 0.250 0.250
0.000 0.000 0.000
0.750 0.750 0.750


No. 15
La2MgAl | Alexandria | GGA-PBEsol | optimized geometry; calculated formation energy = -218 meV/atom; uncorrected energy = -4.343 eV/atom
1.0
3.770 0.000 0.000
0.000 3.770 0.000
0.000 0.000 7.890
Mg Al La
1 1 2
direct
0.500 0.500 0.000
0.500 0.500 0.500
0.000 0.000 0.733
0.000 0.000 0.267


No. 16
BeCu2WAu | Alexandria | GGA-PBEsol | optimized geometry; calculated formation energy = 1905 meV/atom; uncorrected energy = -4.175 eV/atom
1.0
4.550 0.000 0.000
0.000 4.550 0.000
0.000 0.000 4.840
Be Au Cu W
1 1 2 1
direct
0.500 0.500 0.500
0.000 0.000 0.000
0.000 0.500 0.000
0.500 0.000 0.000
0.000 0.000 0.500


No. 17
LiSmS2 | Alexandria | GGA-PBEsol | optimized geometry; uncorrected energy = -5.786 eV/atom; formation energy from raw total energies = -1.83 eV per atom
1.0
5.494 0.000 0.000
0.000 5.494 0.000
-2.747 -2.747 5.574
S Sm Li
4 2 2
direct
0.247 0.247 0.495
0.497 0.997 0.995
0.753 0.753 0.505
0.003 0.503 0.005
0.000 0.000 0.000
0.250 0.750 0.500
0.500 0.500 0.000
0.750 0.250 0.500


No. 18
TlInBr2 | Alexandria | GGA-PBEsol | optimized geometry; E above lowest polymorph = 0.0 meV/atom; uncorrected energy = -3.029 eV/atom; formation energy from raw total energies = -0.69 eV per atom
1.0
-2.558 -3.388 1.203
-0.421 -1.251 -4.419
6.193 -1.827 -0.067
Tl Br In
1 2 1
direct
0.724 0.875 0.447
0.986 0.875 0.971
0.276 0.375 0.553
0.514 0.375 0.029


No. 19
KIr4Rh | Alexandria | GGA-PBEsol | optimized geometry; calculated formation energy = 849 meV/atom; uncorrected energy = -7.245 eV/atom
1.0
-1.107 -2.103 4.631
2.229 -4.484 1.422
3.593 -0.041 3.766
Ir K Rh
4 1 1
direct
0.375 0.375 0.375
0.375 0.375 0.876
0.876 0.375 0.375
0.375 0.876 0.375
0.750 0.750 0.750
0.000 0.000 0.000


No. 20
HgPdPtI2 | Alexandria | GGA-PBEsol | optimized geometry; uncorrected energy = -2.106 eV/atom; formation energy from raw total energies = 1.30 eV per atom
1.0
-0.599 4.985 0.080
-4.349 -0.468 -3.365
-3.333 -0.470 4.373
I Pd Hg Pt
2 1 1 1
direct
0.000 0.000 0.500
0.000 0.500 0.000
0.500 0.000 0.000
0.000 0.000 0.000
0.500 0.500 0.500


No. 21
Mn2GeMoO | Alexandria | GGA-PBEsol | optimized geometry; uncorrected energy = -6.752 eV/atom; formation energy from raw total energies = 1.54 eV per atom
1.0
4.834 0.000 0.000
0.000 4.461 0.000
0.000 0.000 4.461
Mo Mn Ge O
1 2 1 1
direct
0.000 0.000 0.000
0.000 0.000 0.500
0.000 0.500 0.000
0.500 0.000 0.000
0.500 0.500 0.500


No. 22
LiHIr2 | Alexandria | GGA-PBEsol | optimized geometry; uncorrected energy = -5.627 eV/atom
1.0
3.870 0.000 0.000
1.935 3.351 0.000
1.935 1.117 3.159
H Ir Li
1 2 1
direct
0.000 0.000 0.000
0.250 0.250 0.250
0.750 0.750 0.750
0.500 0.500 0.500


No. 23
ThSe3 | Alexandria | GGA-PBEsol | optimized geometry; uncorrected energy = -6.251 eV/atom; formation energy from raw total energies = -1.34 eV per atom
1.0
4.206 0.000 0.000
0.000 5.697 0.035
0.000 -1.270 9.579
Se Th
6 2
direct
0.750 0.966 0.171
0.250 0.034 0.829
0.750 0.383 0.165
0.250 0.617 0.835
0.750 0.264 0.563
0.250 0.736 0.437
0.750 0.783 0.656
0.250 0.217 0.344


No. 24
ReHgAu | Alexandria | GGA-PBEsol | optimized geometry; calculated formation energy = 592 meV/atom; E above lowest polymorph = 0.0 meV/atom; uncorrected energy = -5.349 eV/atom
1.0
-1.055 2.523 -0.612
-2.581 -1.089 -0.041
1.184 0.547 6.627
Au Hg Re
1 1 1
direct
0.991 0.991 0.982
0.670 0.670 0.340
0.339 0.339 0.677